# GaFeH10C10Cl4, optimized geometry, DFT PBE-GGA
# electronic total energy = -0.2129 Ha/atom
# magnetic moment = 1.015 μB/f.u.
data_GaFeH10C10Cl4
_chemical_formula_sum 'Ga4 Fe4 H40 C40 Cl16'
_symmetry_space_group_name_H-M 'P n m a'
_symmetry_Int_Tables_number 62
_cell_length_a 13.9391
_cell_length_b 8.8036
_cell_length_c 11.8713
_cell_angle_alpha 90.00
_cell_angle_beta 90.00
_cell_angle_gamma 90.00
loop_
_symmetry_equiv_pos_as_xyz
'x,y,z'
'-x,-y,-z'
'-x+1/2,-y,z+1/2'
'x+1/2,y,-z+1/2'
'x+1/2,-y+1/2,-z+1/2'
'-x+1/2,y+1/2,z+1/2'
'-x,y+1/2,-z'
'x,-y+1/2,z'
loop_
_atom_site_label
_atom_site_type_symbol
_atom_site_fract_x
_atom_site_fract_y
_atom_site_fract_z
_atom_site_occupancy
Ga1 Ga 0.2077 0.2500 0.2142 1
Fe1 Fe 0.0092 0.2500 0.7512 1
H1 H 0.0315 0.0024 0.6025 1
H2 H 0.0882 0.5959 0.0772 1
H3 H 0.0922 0.0018 0.8692 1
H4 H 0.1393 0.2500 0.5619 1
H5 H 0.1478 0.5946 0.3434 1
H6 H 0.2012 0.2500 0.8374 1
C1 C 0.0062 0.1191 0.6039 1
C2 C 0.0263 0.6684 0.0924 1
C3 C 0.0635 0.2500 0.5832 1
C4 C 0.0689 0.1187 0.8811 1
C5 C 0.0879 0.6684 0.3641 1
C6 C 0.1270 0.2500 0.8653 1
Cl1 Cl 0.0504 0.2500 0.2318 1
Cl2 Cl 0.2265 0.7500 0.8828 1
Cl3 Cl 0.2452 0.5459 0.6223 1